Computed, not measured: an optimized crystal structure of TiVSnSe2 at the PBE level of DFT.

Properties
**Formation energy without anion corrections**: 1.119 eV/atom
**Total energy**: -4.4782 eV per atom

Lattice parameters (Å, degrees): 5.317 5.317 5.027 90.00 90.00 90.00
Sites, in units of the cell vectors:
Ti (0.000, 0.000, 0.000)
V (0.500, 0.500, 0.000)
Sn (0.500, 0.500, 0.500)
Se (0.000, 0.500, 0.500)
Se (0.500, 0.000, 0.500)